# 1
Here is a PBEsol-optimized structure of AlAg2Ir from Alexandria via LeMat-Bulk. Energies are from meta-GGA SCAN.

Properties
Its crystal system is orthorhombic. The total energy is -35.190 eV/atom.

a b c (Å): 2.804 4.766 9.286
angles (deg): 90.00 90.00 90.00
Space group Cmmm (No. 65)
Asymmetric unit:
Al1 0.000 0.000 0.000 (multiplicity 2)
Ag1 0.000 0.500 0.243 (multiplicity 4)
Ir1 0.000 0.000 0.500 (multiplicity 2)

# 2
Here is a PBEsol-optimized structure of BaPHO4 from Alexandria via LeMat-Bulk. Energies are from meta-GGA SCAN.

Properties
Its crystal system is monoclinic. The total energy is -13.806 eV/atom.

a b c (Å): 13.986 22.789 4.657
angles (deg): 90.00 91.88 90.00
Space group Cm (No. 8)
Asymmetric unit:
Ba1 0.000 0.000 0.000 (multiplicity 2)
Ba2 0.012 0.500 0.230 (multiplicity 2)
Ba3 0.044 0.241 0.072 (multiplicity 4)
Ba4 0.298 0.119 0.720 (multiplicity 4)
Ba5 0.304 0.371 0.547 (multiplicity 4)
P1 0.045 0.373 0.640 (multiplicity 4)
P2 0.049 0.121 0.575 (multiplicity 4)
P3 0.265 0.500 0.092 (multiplicity 2)
P4 0.270 0.000 0.146 (multiplicity 2)
P5 0.280 0.250 0.120 (multiplicity 4)
H1 0.113 0.371 0.090 (multiplicity 4)
H2 0.119 0.119 0.145 (multiplicity 4)
H3 0.188 0.500 0.679 (multiplicity 2)
H4 0.189 0.000 0.537 (multiplicity 2)
H5 0.402 0.198 0.389 (multiplicity 4)
O1 0.099 0.391 0.372 (multiplicity 4)
O2 0.100 0.105 0.863 (multiplicity 4)
O3 0.125 0.356 0.878 (multiplicity 4)
O4 0.134 0.131 0.362 (multiplicity 4)
O5 0.169 0.500 0.892 (multiplicity 2)
O6 0.173 0.000 0.320 (multiplicity 2)
O7 0.216 0.275 0.348 (multiplicity 4)
O8 0.221 0.218 0.886 (multiplicity 4)
O9 0.228 0.500 0.398 (multiplicity 2)
O10 0.238 0.000 0.829 (multiplicity 2)
O11 0.322 0.444 0.027 (multiplicity 4)
O12 0.328 0.055 0.222 (multiplicity 4)
O13 0.345 0.194 0.242 (multiplicity 4)
O14 0.352 0.296 0.022 (multiplicity 4)
O15 0.484 0.076 0.744 (multiplicity 4)
O16 0.484 0.430 0.479 (multiplicity 4)
O17 0.485 0.184 0.596 (multiplicity 4)
O18 0.494 0.321 0.586 (multiplicity 4)

# 3
Here is a PBEsol-optimized structure of TlCrTc2 from Alexandria via LeMat-Bulk. Energies are from meta-GGA SCAN.

Properties
Its crystal system is orthorhombic. For the excess energy over the best structure of this formula in the dataset, the calculation gives 6.8 meV/atom.

a b c (Å): 3.157 4.395 8.671
angles (deg): 90.00 90.00 90.00
Space group Imm2 (No. 44)
Asymmetric unit:
Tl1 0.000 0.000 0.000 (multiplicity 2)
Cr1 0.000 0.500 0.758 (multiplicity 2)
Tc1 0.000 0.000 0.472 (multiplicity 2)
Tc2 0.000 0.500 0.228 (multiplicity 2)

# 4
Here is a PBEsol-optimized structure of Cd2NiAg from Alexandria via LeMat-Bulk. Energies are from meta-GGA SCAN.

Properties
Its crystal system is orthorhombic. The total energy is -27.011 eV/atom.

a b c (Å): 3.013 4.592 4.726
angles (deg): 90.00 90.00 90.00
Space group Pmm2 (No. 25)
Asymmetric unit:
Cd1 0.000 0.000 0.000 (multiplicity 1)
Cd2 0.000 0.500 0.401 (multiplicity 1)
Ni1 0.500 0.500 0.899 (multiplicity 1)
Ag1 0.500 0.000 0.515 (multiplicity 1)

# 5
Here is a PBEsol-optimized structure of ScTcSe2 from Alexandria via LeMat-Bulk. Energies are from meta-GGA SCAN.

Properties
Its crystal system is orthorhombic. Its formation energy from raw total energies is -392 meV per atom. For the excess energy over the best structure of this formula in the dataset, the calculation gives 218.7 meV/atom.

a b c (Å): 4.204 4.787 6.515
angles (deg): 90.00 90.00 90.00
Space group Cmmm (No. 65)
Asymmetric unit:
Sc1 0.000 0.000 0.000 (multiplicity 2)
Tc1 0.000 0.000 0.500 (multiplicity 2)
Se1 0.000 0.500 0.265 (multiplicity 4)

# 6
Here is a PBEsol-optimized structure of Ho2Fe17C3 from Alexandria via LeMat-Bulk. Energies are from meta-GGA SCAN.

Properties
Its crystal system is hexagonal. For the excess energy over the best structure of this formula in the dataset, the calculation gives 0.0 meV/atom.

a b c (Å): 8.4530 8.4530 8.1592
angles (deg): 90.00 90.00 120.00
Space group P6_3/mmc (No. 194)
Asymmetric unit:
Ho1 0.0000 0.0000 0.2500 (multiplicity 2)
Ho2 0.3333 0.6667 0.2500 (multiplicity 2)
Fe1 0.0000 0.5000 0.0000 (multiplicity 6)
Fe2 0.0536 0.3807 0.7500 (multiplicity 12)
Fe3 0.1677 0.3354 0.0203 (multiplicity 12)
Fe4 0.3333 0.6667 0.6072 (multiplicity 4)
C1 0.1655 0.3309 0.2500 (multiplicity 6)

# 7
Here is a PBEsol-optimized structure of FeBiH2 from Alexandria via LeMat-Bulk. Energies are from meta-GGA SCAN.

Properties
Its crystal system is cubic. The total energy is -24.792 eV/atom.

a b c (Å): 5.704 5.704 5.704
angles (deg): 90.00 90.00 90.00
Space group Fm-3m (No. 225)
Asymmetric unit:
Fe1 0.000 0.000 0.000 (multiplicity 4)
Bi1 0.000 0.000 0.500 (multiplicity 4)
H1 0.250 0.250 0.250 (multiplicity 8)

# 8
Here is a PBEsol-optimized structure of Sm2CdIr from Alexandria via LeMat-Bulk. Energies are from meta-GGA SCAN.

Properties
Its crystal system is cubic. The total energy is -48.209 eV/atom.

a b c (Å): 7.150 7.150 7.150
angles (deg): 90.00 90.00 90.00
Space group Fm-3m (No. 225)
Asymmetric unit:
Sm1 0.250 0.250 0.250 (multiplicity 8)
Cd1 0.000 0.000 0.000 (multiplicity 4)
Ir1 0.000 0.000 0.500 (multiplicity 4)

# 9
Here is a PBEsol-optimized structure of MgH6Br2N2 from Alexandria via LeMat-Bulk. Energies are from meta-GGA SCAN.

Properties
Its crystal system is orthorhombic. The total energy is -8.390 eV/atom.

a b c (Å): 5.878 7.895 11.750
angles (deg): 90.00 90.00 90.00
Space group Pnma (No. 62)
Asymmetric unit:
Mg1 0.000 0.250 0.001 (multiplicity 4)
H1 0.084 0.250 0.396 (multiplicity 4)
H2 0.126 0.647 0.387 (multiplicity 8)
H3 0.215 0.250 0.795 (multiplicity 4)
H4 0.237 0.647 0.814 (multiplicity 8)
Br1 0.225 0.503 0.114 (multiplicity 8)
N1 0.232 0.750 0.378 (multiplicity 4)
N2 0.250 0.250 0.367 (multiplicity 4)

# 10
Here is a PBEsol-optimized structure of Be2PI from Alexandria via LeMat-Bulk. Energies are from meta-GGA SCAN.

Properties
Its crystal system is tetragonal. Its formation energy from raw total energies is -340 meV per atom.

a b c (Å): 5.367 5.367 10.635
angles (deg): 90.00 90.00 90.00
Space group I-42d (No. 122)
Asymmetric unit:
Be1 0.175 0.250 0.125 (multiplicity 8)
P1 0.000 0.000 0.000 (multiplicity 4)
I1 0.000 0.000 0.500 (multiplicity 4)

# 11
Here is a PBEsol-optimized structure of Ba6Tl2NCl from Alexandria via LeMat-Bulk. Energies are from meta-GGA SCAN.

Properties
Its crystal system is cubic. Its formation energy from raw total energies is -835 meV per atom.

a b c (Å): 11.496 11.496 11.496
angles (deg): 90.00 90.00 90.00
Space group Fm-3m (No. 225)
Asymmetric unit:
Ba1 0.000 0.000 0.233 (multiplicity 24)
Tl1 0.250 0.250 0.250 (multiplicity 8)
N1 0.000 0.000 0.000 (multiplicity 4)
Cl1 0.000 0.000 0.500 (multiplicity 4)

# 12
Here is a PBEsol-optimized structure of Rb3BaI from Alexandria via LeMat-Bulk. Energies are from meta-GGA SCAN.

Properties
Its crystal system is cubic. Its formation energy from raw total energies is 151 meV per atom.

a b c (Å): 8.319 8.319 8.319
angles (deg): 90.00 90.00 90.00
Space group Pm-3m (No. 221)
Asymmetric unit:
Rb1 0.000 0.000 0.500 (multiplicity 3)
Ba1 0.000 0.000 0.000 (multiplicity 1)
I1 0.500 0.500 0.500 (multiplicity 1)

# 13
Here is a PBEsol-optimized structure of ReINO2 from Alexandria via LeMat-Bulk. Energies are from meta-GGA SCAN.

Properties
Its crystal system is tetragonal. Its formation energy from raw total energies is 9 meV per atom.

a b c (Å): 3.811 3.811 4.370
angles (deg): 90.00 90.00 90.00
Space group P4/mmm (No. 123)
Asymmetric unit:
Re1 0.000 0.000 0.000 (multiplicity 1)
I1 0.500 0.500 0.500 (multiplicity 1)
N1 0.000 0.000 0.500 (multiplicity 1)
O1 0.000 0.500 0.000 (multiplicity 2)

# 14
Here is a PBEsol-optimized structure of ZnCuOs2 from Alexandria via LeMat-Bulk. Energies are from meta-GGA SCAN.

Properties
Its crystal system is orthorhombic. The total energy is -42.613 eV/atom.

a b c (Å): 5.178 7.895 2.619
angles (deg): 90.00 90.00 90.00
Space group Cmmm (No. 65)
Asymmetric unit:
Zn1 0.000 0.000 0.000 (multiplicity 2)
Cu1 0.000 0.500 0.000 (multiplicity 2)
Os1 0.250 0.250 0.500 (multiplicity 4)

# 15
Here is a PBEsol-optimized structure of MnNiBr2 from Alexandria via LeMat-Bulk. Energies are from meta-GGA SCAN.

Properties
Its crystal system is tetragonal. Its formation energy from raw total energies is 214 meV per atom. For the excess energy over the best structure of this formula in the dataset, the calculation gives 612.0 meV/atom.

a b c (Å): 4.555 4.555 3.307
angles (deg): 90.00 90.00 90.00
Space group P4/mmm (No. 123)
Asymmetric unit:
Mn1 0.000 0.000 0.000 (multiplicity 1)
Ni1 0.500 0.500 0.000 (multiplicity 1)
Br1 0.000 0.500 0.500 (multiplicity 2)

# 16
Here is a PBEsol-optimized structure of ZnFeRe from Alexandria via LeMat-Bulk. Energies are from meta-GGA SCAN.

Properties
Its crystal system is tetragonal. For the excess energy over the best structure of this formula in the dataset, the calculation gives 0.0 meV/atom.

a b c (Å): 2.734 2.734 10.030
angles (deg): 90.00 90.00 90.00
Space group I4mm (No. 107)
Asymmetric unit:
Zn1 0.000 0.000 0.000 (multiplicity 2)
Fe1 0.000 0.000 0.659 (multiplicity 2)
Re1 0.000 0.000 0.311 (multiplicity 2)

# 17
Here is a PBEsol-optimized structure of SiNi from Alexandria via LeMat-Bulk. Energies are from meta-GGA SCAN.

Properties
Its crystal system is monoclinic. Its formation energy from raw total energies is -372 meV per atom.

a b c (Å): 8.003 2.974 3.904
angles (deg): 90.00 104.60 90.00
Space group C2/m (No. 12)
Asymmetric unit:
Si1 0.121 0.000 0.321 (multiplicity 4)
Ni1 0.113 0.500 0.814 (multiplicity 4)

# 18
Here is a PBEsol-optimized structure of KCd4 from Alexandria via LeMat-Bulk. Energies are from meta-GGA SCAN.

Properties
Its crystal system is tetragonal. For the excess energy over the best structure of this formula in the dataset, the calculation gives 0.0 meV/atom.

a b c (Å): 6.918 6.918 5.322
angles (deg): 90.00 90.00 90.00
Space group I4/mmm (No. 139)
Asymmetric unit:
K1 0.000 0.000 0.000 (multiplicity 2)
Cd1 0.000 0.299 0.500 (multiplicity 8)

# 19
Here is a PBEsol-optimized structure of KLiNd2Mo4O16 from Alexandria via LeMat-Bulk. Energies are from meta-GGA SCAN.

Properties
Its crystal system is monoclinic. Its formation energy from raw total energies is -2637 meV per atom.

a b c (Å): 5.269 12.778 19.455
angles (deg): 90.00 93.42 90.00
Space group C2/c (No. 15)
Asymmetric unit:
K1 0.000 0.035 0.250 (multiplicity 4)
Li1 0.000 0.314 0.250 (multiplicity 4)
Nd1 0.000 0.147 0.034 (multiplicity 8)
Mo1 0.010 0.252 0.650 (multiplicity 8)
Mo2 0.017 0.438 0.094 (multiplicity 8)
O1 0.112 0.407 0.329 (multiplicity 8)
O2 0.133 0.135 0.827 (multiplicity 8)
O3 0.154 0.332 0.044 (multiplicity 8)
O4 0.170 0.238 0.569 (multiplicity 8)
O5 0.224 0.455 0.604 (multiplicity 8)
O6 0.231 0.290 0.715 (multiplicity 8)
O7 0.238 0.345 0.864 (multiplicity 8)
O8 0.247 0.019 0.539 (multiplicity 8)